Record 1
DFT (PBE) results for a relaxed Be2CrBBr crystal.

Cell and atoms, written as POSCAR:
```
Be2CrBBr
1.0
-0.8445 -0.6387 -4.4467
2.8508 -2.7484 -0.1467
-3.0605 -3.2304 1.0452
Br Cr Be B
1 1 2 1
Cartesian
-0.5271 -3.3087 -1.7741
0.0000 0.0000 0.0000
-1.5302 -1.6152 0.5226
-0.4223 -0.3193 -2.2234
1.4254 -1.3742 -0.0734
```

Results
DFT total energy = -3.6248 eV per atom
Crystal system = tetragonal
Total magnetic moment = 2.6 μB per cell

=====

Record 2
DFT (PBE) results for a relaxed Cs2BeBBr6 crystal.

Cell and atoms, written as POSCAR:
```
Cs2BeBBr6
1.0
8.1997 0.0000 0.0000
0.0000 8.1997 0.0000
4.0999 4.0999 5.1750
Cs Be Br B
2 1 6 1
Cartesian
8.1997 4.0999 2.5875
4.0999 8.1997 2.5875
4.0999 4.0999 0.0000
4.0999 4.0999 3.3295
2.4505 5.7492 0.0000
8.1997 8.1997 1.8455
5.7492 2.4505 0.0000
5.7492 5.7492 0.0000
2.4505 2.4505 0.0000
0.0000 0.0000 0.0000
```

Results
DFT total energy = -2.9142 eV per atom
Crystal system = tetragonal
Total magnetic moment = 1.0 μB per cell

=====

Record 3
DFT (PBE) results for a relaxed BeBH6Br crystal.

Cell and atoms, written as POSCAR:
```
BeBH6Br
1.0
-2.3206 -1.6709 2.3157
0.4287 -3.5713 0.7755
3.4086 1.3646 4.4004
B H Be Br
1 6 1 1
Cartesian
1.0737 -1.0650 3.2304
0.4649 -2.2628 2.8124
1.3831 0.1462 3.8760
1.1106 -1.4518 4.5829
1.2244 -1.0012 1.8330
-0.1964 -0.6226 2.8160
2.4553 -1.1983 3.4626
0.4430 -2.8126 4.2609
1.5167 -3.8775 7.4915
```

Results
DFT total energy = -3.2643 eV per atom
Crystal system = trigonal
Total magnetic moment = 0.0 μB per cell

=====

Record 4
DFT (PBE) results for a relaxed BeB2IrBr crystal.

Cell and atoms, written as POSCAR:
```
BeB2IrBr
1.0
3.6686 0.0000 0.0000
0.0000 4.9449 0.0000
0.0000 0.0000 3.6686
B Br Ir Be
2 1 1 1
Cartesian
1.8343 0.0000 0.0000
0.0000 0.0000 1.8343
0.0000 2.4725 0.0000
1.8343 2.4725 1.8343
0.0000 0.0000 0.0000
```

Results
DFT total energy = -3.9467 eV per atom
Crystal system = tetragonal
Total magnetic moment = 0.0 μB per cell

=====

Record 5
DFT (PBE) results for a relaxed MgBeBBr2 crystal.

Cell and atoms, written as POSCAR:
```
MgBeBBr2
1.0
-0.0082 4.7968 -1.6117
0.4716 -1.4138 -4.2103
-5.0321 -0.1779 -0.5039
Be Mg B Br
1 1 1 2
Cartesian
-2.2843 1.6025 -3.1629
0.2358 -0.7069 -2.1051
0.0000 0.0000 0.0000
-2.5160 -0.0890 -0.2519
-0.0041 2.3984 -0.8059
```

Results
DFT total energy = -2.1710 eV per atom
Crystal system = tetragonal
Total magnetic moment = 0.0 μB per cell

=====

Record 6
DFT (PBE) results for a relaxed BeBBr2N crystal.

Cell and atoms, written as POSCAR:
```
BeBBr2N
1.0
-1.8284 2.1909 -4.2853
-2.6869 -1.9813 0.1334
-2.4537 3.5193 2.8462
B N Br Be
1 1 2 1
Cartesian
-3.4845 1.8645 -0.6528
-1.3435 -0.9906 0.0667
-0.9142 1.0955 -2.1427
-1.2269 1.7596 1.4231
0.0000 0.0000 0.0000
```

Results
DFT total energy = -3.3571 eV per atom
Crystal system = tetragonal
Total magnetic moment = 2.0 μB per cell

=====

Record 7
DFT (PBE) results for a relaxed Be2NbBBr crystal.

Cell and atoms, written as POSCAR:
```
Be2NbBBr
1.0
-0.5746 -3.6048 3.3851
-2.0569 -2.2502 -2.7454
4.2689 -2.0816 -1.4922
Be B Br Nb
2 1 1 1
Cartesian
2.1344 -1.0408 -0.7461
-0.2873 -1.8024 1.6925
-1.0285 -1.1251 -1.3727
0.8187 -3.9683 -0.4263
0.0000 0.0000 0.0000
```

Results
DFT total energy = -3.5621 eV per atom
Crystal system = tetragonal
Total magnetic moment = 0.0 μB per cell

=====

Record 8
DFT (PBE) results for a relaxed BeBP2Br crystal.

Cell and atoms, written as POSCAR:
```
BeBP2Br
1.0
3.9869 0.0000 0.0000
0.0000 7.9341 0.0000
0.0000 0.0000 3.9869
Br P B Be
1 2 1 1
Cartesian
0.0000 3.9670 0.0000
1.9934 0.0000 0.0000
0.0000 0.0000 1.9934
1.9934 3.9670 1.9934
0.0000 0.0000 0.0000
```

Results
DFT total energy = -3.2940 eV per atom
Crystal system = tetragonal
Total magnetic moment = 0.0 μB per cell

=====

Record 9
DFT (PBE) results for a relaxed Be2BSbBr crystal.

Cell and atoms, written as POSCAR:
```
Be2BSbBr
1.0
-1.8811 -1.4740 -3.3375
2.7779 -5.9131 1.0458
-3.2158 -1.1039 2.3000
Sb Be B Br
1 2 1 1
Cartesian
1.3889 -2.9566 0.5229
-1.6079 -0.5520 1.1500
-0.9405 -0.7370 -1.6688
-1.1595 -4.2455 0.0042
0.0000 0.0000 0.0000
```

Results
DFT total energy = -1.9578 eV per atom
Crystal system = tetragonal
Total magnetic moment = 0.0 μB per cell

=====

Record 10
DFT (PBE) results for a relaxed Be2BSeBr crystal.

Cell and atoms, written as POSCAR:
```
Be2BSeBr
1.0
-3.0610 -1.5380 -3.0741
2.0008 -3.6497 -0.1663
-2.6321 -1.5988 3.4207
Be B Br Se
2 1 1 1
Cartesian
-1.3161 -0.7994 1.7103
-1.5305 -0.7690 -1.5371
1.0004 -1.8249 -0.0831
-1.8461 -3.3932 0.0901
0.0000 0.0000 0.0000
```

Results
DFT total energy = -2.5741 eV per atom
Crystal system = tetragonal
Total magnetic moment = 0.0 μB per cell

=====

Record 11
DFT (PBE) results for a relaxed BeBSe2Br crystal.

Cell and atoms, written as POSCAR:
```
BeBSe2Br
1.0
-4.0812 -1.5851 1.1584
1.0297 -4.0034 -1.8503
1.8400 -1.5455 4.3678
Be Se B Br
1 2 1 1
Cartesian
0.0000 0.0000 0.0000
0.5149 -2.0017 -0.9252
-2.0406 -0.7926 0.5792
-0.6057 -3.5670 1.8379
0.9200 -0.7727 2.1839
```

Results
DFT total energy = -2.8394 eV per atom
Crystal system = tetragonal
Total magnetic moment = 0.0 μB per cell

=====

Record 12
DFT (PBE) results for a relaxed BeBSe2Br crystal.

Cell and atoms, written as POSCAR:
```
BeBSe2Br
1.0
-4.3668 -1.1673 0.2537
0.4618 -2.5363 -3.7216
1.0930 -3.5357 2.5452
Se Be Br B
2 1 1 1
Cartesian
0.2309 -1.2681 -1.8608
-2.1834 -0.5837 0.1269
-1.4060 -3.6196 -0.4613
0.5465 -1.7678 1.2726
0.0000 0.0000 0.0000
```

Results
DFT total energy = -2.8393 eV per atom
Crystal system = tetragonal
Total magnetic moment = 0.0 μB per cell

=====

Record 13
DFT (PBE) results for a relaxed Be2TlBBr crystal.

Cell and atoms, written as POSCAR:
```
Be2TlBBr
1.0
-3.4916 -2.5768 -0.9354
2.6591 -4.6645 2.9237
-1.9460 1.2629 3.7847
Be Tl Br B
2 1 1 1
Cartesian
-1.7458 -1.2884 -0.4677
-0.9730 0.6314 1.8924
1.3296 -2.3323 1.4618
0.0000 0.0000 0.0000
-1.3892 -2.9892 2.8865
```

Results
DFT total energy = -1.7397 eV per atom
Crystal system = tetragonal
Total magnetic moment = 0.0 μB per cell

=====

Record 14
DFT (PBE) results for a relaxed BeBC crystal.

Cell and atoms, written as POSCAR:
```
BeBC
1.0
2.5102 0.0000 0.0000
0.0000 2.5102 0.0000
-1.2551 -1.2551 3.3220
C B Be
1 1 1
Cartesian
1.2551 1.2551 1.1627
0.0000 0.0000 1.5348
1.2551 1.2551 2.9498
```

Results
Formation energy = 1.31 eV per atom
Polymorph energy (0 for the lowest one) = 1305 meV/atom
Crystal system = tetragonal
Total magnetic moment = 0.0 μB per cell

=====

Record 15
DFT (PBE) results for a relaxed Be3BC crystal.

Cell and atoms, written as POSCAR:
```
Be3BC
1.0
-3.0648 1.5981 -0.1149
-1.4987 -2.9471 -1.0143
-0.5666 -0.8491 3.3043
B C Be
1 1 3
Cartesian
-2.5651 -1.0991 1.0875
0.0000 0.0000 0.0000
-1.5324 0.7990 -0.0574
-0.7493 -1.4736 -0.5072
-0.2833 -0.4246 1.6521
```

Results
Formation energy = 0.65 eV per atom
Polymorph energy (0 for the lowest one) = 0 meV/atom
Crystal system = cubic
Total magnetic moment = 0.0 μB per cell

=====

Record 16
DFT (PBE) results for a relaxed BeBC3 crystal.

Cell and atoms, written as POSCAR:
```
BeBC3
1.0
3.3983 0.0000 0.0000
0.0000 3.3983 0.0000
0.0000 0.0000 3.3983
C Be B
3 1 1
Cartesian
0.0000 1.6991 0.0000
1.6991 0.0000 0.0000
0.0000 0.0000 1.6991
1.6991 1.6991 1.6991
0.0000 0.0000 0.0000
```

Results
Formation energy = 2.42 eV per atom
Polymorph energy (0 for the lowest one) = 0 meV/atom
Crystal system = cubic
Total magnetic moment = 0.0 μB per cell

=====

Record 17
DFT (PBE) results for a relaxed BeBC2 crystal.

Cell and atoms, written as POSCAR:
```
BeBC2
1.0
-0.7350 -1.8999 2.6940
-3.1823 -0.1890 1.1157
-1.7554 -2.8605 -0.3790
Be C B
1 2 1
Cartesian
0.0000 0.0000 0.0000
-1.4182 -1.2373 0.8577
-4.2545 -3.7120 2.5731
-2.8363 -2.4747 1.7154
```

Results
Formation energy = 2.28 eV per atom
Polymorph energy (0 for the lowest one) = 1383 meV/atom
Crystal system = cubic
Total magnetic moment = 0.0 μB per cell

=====

Record 18
DFT (PBE) results for a relaxed BeBC crystal.

Cell and atoms, written as POSCAR:
```
BeBC
1.0
2.7138 -0.0504 0.0195
-0.8396 3.1108 0.0138
-0.5265 -0.7556 5.4630
B Be C
2 2 2
Cartesian
-0.1293 1.6540 3.8756
2.5649 -0.0664 0.5893
-0.2705 0.1591 2.5726
1.1473 1.2401 1.2161
1.2342 1.4272 3.0925
-0.1266 2.0442 5.3998
```

Results
Formation energy = 0.10 eV per atom
Polymorph energy (0 for the lowest one) = 94 meV/atom
Crystal system = triclinic
Total magnetic moment = 0.0 μB per cell

=====

Record 19
DFT (PBE) results for a relaxed BeBC crystal.

Cell and atoms, written as POSCAR:
```
BeBC
1.0
2.7203 0.0000 -0.0079
0.0000 4.8909 0.0000
-1.3054 0.0000 3.1767
B Be C
2 2 2
Cartesian
0.0219 2.1844 1.5100
1.3929 4.6299 1.6588
0.0086 3.6599 0.0768
1.4062 1.2145 3.0919
1.3801 1.3300 1.3462
0.0347 3.7755 1.8226
```

Results
Formation energy = 0.12 eV per atom
Polymorph energy (0 for the lowest one) = 119 meV/atom
Crystal system = monoclinic
Total magnetic moment = 0.0 μB per cell

=====

Record 20
DFT (PBE) results for a relaxed BeBC crystal.

Cell and atoms, written as POSCAR:
```
BeBC
1.0
-0.3217 -0.8538 2.5626
1.4130 -1.5426 -1.7417
4.6054 4.2614 1.7135
B Be C
2 2 2
Cartesian
0.5755 -0.5730 2.4505
3.2310 2.0352 1.9387
2.7727 -0.3805 1.4272
5.0710 2.5223 0.8985
3.5581 1.6694 0.4121
1.9752 -0.8800 -0.3322
```

Results
Formation energy = 0.07 eV per atom
Polymorph energy (0 for the lowest one) = 68 meV/atom
Crystal system = triclinic
Total magnetic moment = 0.0 μB per cell

=====

Record 21
DFT (PBE) results for a relaxed BeBC2 crystal.

Cell and atoms, written as POSCAR:
```
BeBC2
1.0
-3.7610 -0.6296 -1.6833
-1.5046 -1.0322 3.7477
-3.4799 2.6071 1.6390
C B Be
4 2 2
Cartesian
-7.2911 0.4506 3.2195
-3.5932 0.0984 -0.2565
-2.0959 -0.0411 2.6243
-4.5107 1.3828 1.8195
-4.9368 0.5733 0.4939
0.0000 0.0000 0.0000
-3.8087 0.3720 3.2095
-2.6328 -0.8309 1.0322
```

Results
Formation energy = 0.90 eV per atom
Polymorph energy (0 for the lowest one) = 0 meV/atom
Crystal system = tetragonal
Total magnetic moment = 0.0 μB per cell

=====

Record 22
DFT (PBE) results for a relaxed BeBC crystal.

Cell and atoms, written as POSCAR:
```
BeBC
1.0
-2.5268 -0.2455 1.1313
-0.8291 -2.0527 -2.3028
3.0036 -3.6180 2.5041
Be C B
2 2 2
Cartesian
-2.1227 -2.0908 -0.8950
0.2923 -2.7675 0.9381
-0.4226 -3.0374 -0.7227
0.9767 -3.9875 2.2000
-1.5094 -3.7687 0.1039
2.1464 -3.2699 1.5549
```

Results
Formation energy = 0.09 eV per atom
Polymorph energy (0 for the lowest one) = 85 meV/atom
Crystal system = monoclinic
Total magnetic moment = 0.0 μB per cell

=====

Record 23
DFT (PBE) results for a relaxed BeBC crystal.

Cell and atoms, written as POSCAR:
```
BeBC
1.0
-0.5035 -1.6918 3.2886
-1.0476 -2.1482 -1.2655
4.1131 -0.6456 -2.3088
C Be B
2 2 2
Cartesian
1.8445 -2.0171 -0.9925
0.3118 -0.6202 0.7947
0.9225 -1.6805 2.0890
2.4553 -3.0774 0.3018
1.7815 -1.0379 0.2871
3.3142 -2.4348 -1.5001
```

Results
Formation energy = 0.14 eV per atom
Polymorph energy (0 for the lowest one) = 134 meV/atom
Crystal system = monoclinic
Total magnetic moment = 0.0 μB per cell

=====

Record 24
DFT (PBE) results for a relaxed BeBC crystal.

Cell and atoms, written as POSCAR:
```
BeBC
1.0
2.7735 0.0000 0.0000
0.0000 6.7575 0.0000
0.0000 0.0000 4.8924
B C Be
4 4 4
Cartesian
0.0000 5.1687 4.0104
0.0000 1.5887 4.0104
1.3867 4.9675 1.5642
1.3867 1.7900 1.5642
1.3867 1.6856 4.8355
0.0000 1.6931 2.3892
0.0000 5.0643 2.3892
1.3867 5.0719 4.8355
0.0000 0.0000 2.6657
1.3867 0.0000 4.5273
1.3867 3.3787 0.2194
0.0000 3.3787 2.0811
```

Results
Formation energy = 0.06 eV per atom
Polymorph energy (0 for the lowest one) = 59 meV/atom
Crystal system = orthorhombic
Total magnetic moment = 0.0 μB per cell

=====

Record 25
DFT (PBE) results for a relaxed BeBC crystal.

Cell and atoms, written as POSCAR:
```
BeBC
1.0
-0.0047 -1.0538 -2.9418
1.7627 -1.4089 2.1616
-12.9589 -10.4425 3.7615
B Be C
6 6 6
Cartesian
-10.5377 -10.1346 1.9877
-2.1517 -1.7339 0.6246
-5.8869 -6.3869 0.6378
-6.8026 -5.4816 1.9745
-9.6174 -9.9861 3.5927
-1.3093 -3.2913 1.1812
-8.0244 -8.7024 3.1303
-0.5587 -0.4502 0.1622
-10.2739 -8.2788 2.9821
-4.2939 -5.1032 0.1753
-4.7806 -6.0886 2.1888
-1.0501 -2.4894 -0.7662
-7.9397 -6.3979 2.3046
-2.4465 -4.2076 1.5112
-3.4290 -4.9994 1.7964
-11.6749 -11.0509 2.3178
0.3015 -1.4002 -1.1585
-8.9223 -7.1897 2.5898
```

Results
Formation energy = 0.28 eV per atom
Polymorph energy (0 for the lowest one) = 275 meV/atom
Crystal system = trigonal
Total magnetic moment = 0.0 μB per cell

=====

Record 26
DFT (PBE) results for a relaxed BeBC crystal.

Cell and atoms, written as POSCAR:
```
BeBC
1.0
3.1346 0.0000 0.0000
-1.5673 2.7147 0.0000
0.0000 0.0000 2.9076
B C Be
1 1 1
Cartesian
0.0000 0.0000 0.0000
0.0000 0.0000 1.4538
0.0000 1.8098 1.4538
```

Results
Formation energy = 0.17 eV per atom
Polymorph energy (0 for the lowest one) = 170 meV/atom
Crystal system = hexagonal
Total magnetic moment = 0.0 μB per cell

=====

Record 27
DFT (PBE) results for a relaxed BeBC crystal.

Cell and atoms, written as POSCAR:
```
BeBC
1.0
-2.6538 2.4257 3.8305
-2.0381 -2.0763 -0.0972
5.7362 -5.6520 0.4567
B C Be
4 4 4
Cartesian
2.9231 -2.9687 2.1233
0.3600 -2.4805 1.8440
4.2472 -4.2683 2.1210
-0.9641 -1.1808 1.8463
1.9350 -1.9696 1.4988
-0.4251 -1.7680 3.0880
3.7841 -5.8338 1.6785
3.4620 -3.5558 3.3649
0.1353 -0.3153 3.8977
2.8970 -4.9128 0.6060
1.9843 -4.1794 4.0774
1.0480 -1.0487 0.4263
```

Results
Formation energy = 0.15 eV per atom
Polymorph energy (0 for the lowest one) = 146 meV/atom
Crystal system = monoclinic
Total magnetic moment = 0.0 μB per cell